[1]
Below is a geometry-optimized La3Ho7Th structure, with properties calculated at the PBE level. Values from VASP.

```
&SYSTEM
  ibrav = 0, nat = 11, ntyp = 3
/
ATOMIC_SPECIES
La 138.91 La.upf
Ho 164.93 Ho.upf
Th 232.04 Th.upf
CELL_PARAMETERS angstrom
7.064 0.000 0.000
-3.532 6.118 0.000
0.000 0.000 8.822
ATOMIC_POSITIONS crystal
La 0.007 0.503 0.000
La 0.497 0.503 0.000
La 0.497 0.993 0.000
Ho 0.168 0.337 0.345
Ho 0.168 0.832 0.345
Ho 0.334 0.167 0.664
Ho 0.663 0.832 0.345
Ho 0.667 0.333 0.345
Ho 0.833 0.167 0.664
Ho 0.833 0.666 0.664
Th 0.333 0.667 0.665
```

Summary:
Space-group type   No. 156
Calculated formation energy   171 meV/atom

***

[2]
Below is a geometry-optimized Ni5Br12Cl3 structure, with properties calculated at the PBE level. Values from VASP.

```
&SYSTEM
  ibrav = 0, nat = 80, ntyp = 3
/
ATOMIC_SPECIES
Ni 58.69 Ni.upf
Br 79.90 Br.upf
Cl 35.45 Cl.upf
CELL_PARAMETERS angstrom
-8.077 8.077 8.077
8.077 -8.077 8.077
8.077 8.077 -8.077
ATOMIC_POSITIONS crystal
Ni 0.000 0.000 0.000
Ni 0.000 0.000 0.500
Ni 0.000 0.500 0.000
Ni 0.000 0.500 0.500
Ni 0.125 0.750 0.875
Ni 0.125 0.875 0.250
Ni 0.250 0.125 0.875
Ni 0.250 0.625 0.375
Ni 0.375 0.250 0.625
Ni 0.375 0.625 0.750
Ni 0.500 0.000 0.000
Ni 0.500 0.000 0.500
Ni 0.500 0.500 0.000
Ni 0.500 0.500 0.500
Ni 0.625 0.375 0.250
Ni 0.625 0.750 0.375
Ni 0.750 0.375 0.625
Ni 0.750 0.875 0.125
Ni 0.875 0.125 0.750
Ni 0.875 0.250 0.125
Br 0.009 0.191 0.105
Br 0.009 0.318 0.903
Br 0.086 0.691 0.682
Br 0.086 0.895 0.403
Br 0.097 0.605 0.414
Br 0.097 0.991 0.682
Br 0.105 0.009 0.191
Br 0.105 0.597 0.914
Br 0.182 0.191 0.586
Br 0.182 0.491 0.597
Br 0.191 0.105 0.009
Br 0.191 0.586 0.182
Br 0.309 0.318 0.914
Br 0.309 0.491 0.395
Br 0.318 0.903 0.009
Br 0.318 0.914 0.309
Br 0.395 0.309 0.491
Br 0.395 0.586 0.903
Br 0.403 0.086 0.895
Br 0.403 0.818 0.509
Br 0.414 0.097 0.605
Br 0.414 0.818 0.809
Br 0.491 0.395 0.309
Br 0.491 0.597 0.182
Br 0.509 0.403 0.818
Br 0.509 0.605 0.691
Br 0.586 0.182 0.191
Br 0.586 0.903 0.395
Br 0.597 0.182 0.491
Br 0.597 0.914 0.105
Br 0.605 0.414 0.097
Br 0.605 0.691 0.509
Br 0.682 0.086 0.691
Br 0.682 0.097 0.991
Br 0.691 0.509 0.605
Br 0.691 0.682 0.086
Br 0.809 0.414 0.818
Br 0.809 0.895 0.991
Br 0.818 0.509 0.403
Br 0.818 0.809 0.414
Br 0.895 0.403 0.086
Br 0.895 0.991 0.809
Br 0.903 0.009 0.318
Br 0.903 0.395 0.586
Br 0.914 0.105 0.597
Br 0.914 0.309 0.318
Br 0.991 0.682 0.097
Br 0.991 0.809 0.895
Cl 0.125 0.250 0.375
Cl 0.125 0.375 0.750
Cl 0.250 0.375 0.125
Cl 0.250 0.875 0.625
Cl 0.375 0.125 0.250
Cl 0.375 0.750 0.125
Cl 0.625 0.250 0.875
Cl 0.625 0.875 0.750
Cl 0.750 0.125 0.375
Cl 0.750 0.625 0.875
Cl 0.875 0.625 0.250
Cl 0.875 0.750 0.625
```

Summary:
Space-group type   No. 230
Formation energy without anion corrections   11.6 meV per atom

***

[3]
Below is a geometry-optimized Zr3Al3Os structure, with properties calculated at the PBE level. Values from VASP.

```
&SYSTEM
  ibrav = 0, nat = 14, ntyp = 3
/
ATOMIC_SPECIES
Zr 91.22 Zr.upf
Al 26.98 Al.upf
Os 190.23 Os.upf
CELL_PARAMETERS angstrom
1.661 -5.426 0.000
1.661 5.426 0.000
0.000 0.000 14.482
ATOMIC_POSITIONS crystal
Zr 0.002 0.998 0.750
Zr 0.318 0.682 0.089
Zr 0.318 0.682 0.411
Zr 0.682 0.318 0.589
Zr 0.682 0.318 0.911
Zr 0.998 0.002 0.250
Al 0.263 0.737 0.750
Al 0.402 0.598 0.607
Al 0.402 0.598 0.893
Al 0.598 0.402 0.107
Al 0.598 0.402 0.393
Al 0.737 0.263 0.250
Os 0.000 0.000 0.000
Os 0.000 0.000 0.500
```

Summary:
Space-group type   No. 63
Calculated formation energy   -477 meV/atom

***

[4]
Below is a geometry-optimized Li2TlPd2 structure, with properties calculated at the PBE level. Values from VASP.

```
&SYSTEM
  ibrav = 0, nat = 10, ntyp = 3
/
ATOMIC_SPECIES
Li 6.94 Li.upf
Tl 204.38 Tl.upf
Pd 106.42 Pd.upf
CELL_PARAMETERS angstrom
7.281 0.000 0.000
0.000 7.281 0.000
0.000 0.000 3.112
ATOMIC_POSITIONS crystal
Li 0.156 0.344 0.000
Li 0.344 0.844 0.000
Li 0.656 0.156 0.000
Li 0.844 0.656 0.000
Tl 0.000 0.000 0.500
Tl 0.500 0.500 0.500
Pd 0.138 0.638 0.500
Pd 0.362 0.138 0.500
Pd 0.638 0.862 0.500
Pd 0.862 0.362 0.500
```

Summary:
Space-group type   No. 127
Calculated formation energy   -339 meV/atom
Offset from the most stable computed form   0 meV per atom

***

[5]
Below is a geometry-optimized NdPa2Si structure, with properties calculated at the PBE level. Values from VASP.

```
&SYSTEM
  ibrav = 0, nat = 4, ntyp = 3
/
ATOMIC_SPECIES
Nd 144.24 Nd.upf
Pa 231.04 Pa.upf
Si 28.09 Si.upf
CELL_PARAMETERS angstrom
4.393 0.000 0.000
0.000 4.393 0.000
0.000 0.000 4.927
ATOMIC_POSITIONS crystal
Nd 0.000 0.000 0.000
Pa 0.000 0.500 0.500
Pa 0.500 0.000 0.500
Si 0.500 0.500 0.000
```

Summary:
Space-group type   No. 123
Formation energy without anion corrections   -87.4 meV per atom
Offset from the most stable computed form   0 meV per atom

***

[6]
Below is a geometry-optimized EuEr2Tc structure, with properties calculated at the PBE level. Values from VASP.

```
&SYSTEM
  ibrav = 0, nat = 4, ntyp = 3
/
ATOMIC_SPECIES
Eu 151.96 Eu.upf
Er 167.26 Er.upf
Tc 98.00 Tc.upf
CELL_PARAMETERS angstrom
1.744 1.007 10.862
-1.744 1.007 10.862
0.000 -2.014 10.862
ATOMIC_POSITIONS crystal
Eu 0.000 0.000 0.000
Er 0.107 0.107 0.107
Er 0.893 0.893 0.893
Tc 0.500 0.500 0.500
```

Summary:
Space-group type   No. 166
Calculated formation energy   229 meV/atom
Offset from the most stable computed form   252 meV per atom

***

[7]
Below is a geometry-optimized Ca3Sm5S8 structure, with properties calculated at the PBE level. Values from VASP.

```
&SYSTEM
  ibrav = 0, nat = 16, ntyp = 3
/
ATOMIC_SPECIES
Ca 40.08 Ca.upf
Sm 150.36 Sm.upf
S 32.06 S.upf
CELL_PARAMETERS angstrom
4.001 2.310 6.595
-4.001 2.310 6.595
0.000 -4.620 6.595
ATOMIC_POSITIONS crystal
Ca 0.000 0.500 0.500
Ca 0.500 0.000 0.500
Ca 0.500 0.500 0.000
Sm 0.000 0.000 0.000
Sm 0.000 0.000 0.500
Sm 0.000 0.500 0.000
Sm 0.500 0.000 0.000
Sm 0.500 0.500 0.500
S 0.250 0.250 0.747
S 0.250 0.747 0.250
S 0.251 0.251 0.251
S 0.253 0.750 0.750
S 0.747 0.250 0.250
S 0.749 0.749 0.749
S 0.750 0.253 0.750
S 0.750 0.750 0.253
```

Summary:
Space-group type   No. 166
Formation energy without anion corrections   -2048.7 meV per atom

***

[8]
Below is a geometry-optimized Ga2SbPd9 structure, with properties calculated at the PBE level. Values from VASP.

```
&SYSTEM
  ibrav = 0, nat = 12, ntyp = 3
/
ATOMIC_SPECIES
Ga 69.72 Ga.upf
Sb 121.76 Sb.upf
Pd 106.42 Pd.upf
CELL_PARAMETERS angstrom
3.976 0.000 0.000
0.000 3.976 0.000
0.000 0.000 11.838
ATOMIC_POSITIONS crystal
Ga 0.000 0.000 0.159
Ga 0.000 0.000 0.841
Sb 0.000 0.000 0.500
Pd 0.000 0.500 0.000
Pd 0.000 0.500 0.327
Pd 0.000 0.500 0.673
Pd 0.500 0.000 0.000
Pd 0.500 0.000 0.327
Pd 0.500 0.000 0.673
Pd 0.500 0.500 0.164
Pd 0.500 0.500 0.500
Pd 0.500 0.500 0.836
```

Summary:
Space-group type   No. 123
Formation energy without anion corrections   -447.6 meV per atom

***

The calculation returns the following VASP energy values, one per record and in order: -52.36; -54.29; -51.44; -18.27; -29.53; -28.85; -95.40; -62.28 eV per formula unit.
The calculation returns the following total moment values, one per record and in order: 0.00; 7.19; 0.00; 0.00; 0.00; 7.50; 0.00; 0.00 μB/f.u..